Arrangement 1

The following is a PBE-GGA calculation of a relaxed structure of ZrReB2, from the Alexandria database.

Summary:
Magnetic moment, μB/cell: 0.00
Crystal system: trigonal

a = 3.2551 Å, b = 3.2551 Å, c = 16.1083 Å
α = 90.00°, β = 90.00°, γ = 120.00°
With the nearest neighbours (Å) after each atom.
Space group R-3m (No. 166, hexagonal axes)
One atom of each set of equivalent atoms:
Zr 0.0000 0.0000 0.0000 (multiplicity 3)  6 B 2.40
Re 0.0000 0.0000 0.5000 (multiplicity 3)  6 B 2.23
B 0.0000 0.0000 0.2407 (multiplicity 6)  3 Re 2.23, 3 Zr 2.40

***

Arrangement 2

The following is a PBE-GGA calculation of a relaxed structure of ZrReB2, from the Alexandria database.

Summary:
Magnetic moment, μB/cell: 0.00
Crystal system: cubic

a = 5.7519 Å, b = 5.7519 Å, c = 5.7519 Å
α = 90.00°, β = 90.00°, γ = 90.00°
With the nearest neighbours (Å) after each atom.
Space group Fm-3m (No. 225)
One atom of each set of equivalent atoms:
Zr 0.0000 0.0000 0.0000 (multiplicity 4)  8 B 2.49
Re 0.0000 0.0000 0.5000 (multiplicity 4)  8 B 2.49
B 0.2500 0.2500 0.2500 (multiplicity 8)  4 Zr 2.49, 4 Re 2.49

***

Arrangement 3

The following is a PBE-GGA calculation of a relaxed structure of ZrReB2, from the Alexandria database.

Summary:
Magnetic moment, μB/cell: 0.00
Crystal system: tetragonal

a = 4.8246 Å, b = 4.8246 Å, c = 10.8531 Å
α = 90.00°, β = 90.00°, γ = 90.00°
With the nearest neighbours (Å) after each atom.
Space group I-42d (No. 122)
One atom of each set of equivalent atoms:
Zr 0.0000 0.0000 0.0000 (multiplicity 4)  4 B 2.37
Re 0.0000 0.0000 0.5000 (multiplicity 4)  4 B 2.02
B 0.1844 0.2500 0.6250 (multiplicity 8)  2 Re 2.02

***

Most stable one: arrangement 1, least stable one: arrangement 3.

***

Arrangement 1

The following is a PBE-GGA calculation of a relaxed structure of B4Rh5, from the Alexandria database.

Summary:
Magnetic moment, μB/cell: 0.00
Crystal system: triclinic

a = 2.9620 Å, b = 5.5680 Å, c = 6.7578 Å
α = 110.32°, β = 102.53°, γ = 90.16°
With the nearest neighbours (Å) after each atom.
Space group P-1 (No. 2)
One atom of each set of equivalent atoms:
B 0.0505 0.3073 0.0992 (multiplicity 2)  5 Rh 2.02-2.18
B 0.2945 0.0021 0.5894 (multiplicity 2)  2 B 1.89
Rh 0.1068 0.7068 0.2165 (multiplicity 2)  4 B 2.06-2.23
Rh 0.1992 0.2702 0.3935 (multiplicity 2)  3 B 2.02-2.15
Rh 0.5000 0.0000 0.0000 (multiplicity 1)  4 B 2.18

***

Arrangement 2

The following is a PBE-GGA calculation of a relaxed structure of B4Rh5, from the Alexandria database.

Summary:
Magnetic moment, μB/cell: 0.00
Crystal system: hexagonal

a = 3.3372 Å, b = 3.3372 Å, c = 20.5246 Å
α = 90.00°, β = 90.00°, γ = 120.00°
With the nearest neighbours (Å) after each atom.
Space group P6_3/mmc (No. 194)
One atom of each set of equivalent atoms:
B 0.3333 0.6667 0.0864 (multiplicity 4)  6 Rh 2.09-2.30, 1 B 2.26
B 0.3333 0.6667 0.1964 (multiplicity 4)  6 Rh 2.17-2.22, 2 B 2.20-2.26
Rh 0.0000 0.0000 0.1476 (multiplicity 4)  6 B 2.17-2.30
Rh 0.3333 0.6667 0.5475 (multiplicity 4)  3 B 2.09
Rh 0.3333 0.6667 0.7500 (multiplicity 2)  6 B 2.22

***

Most stable one: arrangement 2, least stable one: arrangement 1.

***

Arrangement 1

The following is a PBE-GGA calculation of a relaxed structure of BRu3Rh, from the Alexandria database.

Summary:
Magnetic moment, μB/cell: 2.76
Crystal system: cubic

a = 4.6529 Å, b = 4.6529 Å, c = 4.6529 Å
α = 90.00°, β = 90.00°, γ = 90.00°
With the nearest neighbours (Å) after each atom.
Space group Pm-3m (No. 221)
One atom of each set of equivalent atoms:
B 0.0000 0.0000 0.0000 (multiplicity 1)  12 Ru 3.29
Ru 0.0000 0.5000 0.5000 (multiplicity 3)  2 Rh 2.33
Rh 0.5000 0.5000 0.5000 (multiplicity 1)  6 Ru 2.33

***

Arrangement 2

The following is a PBE-GGA calculation of a relaxed structure of BRu3Rh, from the Alexandria database.

Summary:
Magnetic moment, μB/cell: 0.00
Crystal system: cubic

a = 4.0422 Å, b = 4.0422 Å, c = 4.0422 Å
α = 90.00°, β = 90.00°, γ = 90.00°
With the nearest neighbours (Å) after each atom.
Space group Pm-3m (No. 221)
One atom of each set of equivalent atoms:
B 0.0000 0.0000 0.0000 (multiplicity 1)  6 Ru 2.02
Ru 0.0000 0.0000 0.5000 (multiplicity 3)  2 B 2.02
Rh 0.5000 0.5000 0.5000 (multiplicity 1)  12 Ru 2.86

***

Most stable one: arrangement 2, least stable one: arrangement 1.

***

Arrangement 1

The following is a PBE-GGA calculation of a relaxed structure of BRuRh2Se, from the Alexandria database.

Summary:
Magnetic moment, μB/cell: 0.00
Crystal system: tetragonal

a = 4.7418 Å, b = 4.7418 Å, c = 4.6234 Å
α = 90.00°, β = 90.00°, γ = 90.00°
With the nearest neighbours (Å) after each atom.
Space group P4/mmm (No. 123)
One atom of each set of equivalent atoms:
B 0.0000 0.0000 0.0000 (multiplicity 1)  8 Rh 3.31, 4 Se 3.35
Ru 0.5000 0.5000 0.5000 (multiplicity 1)  2 Se 2.31, 4 Rh 2.37
Rh 0.0000 0.5000 0.5000 (multiplicity 2)  2 Ru 2.37
Se 0.5000 0.5000 0.0000 (multiplicity 1)  2 Ru 2.31

***

Arrangement 2

The following is a PBE-GGA calculation of a relaxed structure of BRuRh2Se, from the Alexandria database.

Summary:
Magnetic moment, μB/cell: 0.00
Crystal system: tetragonal

a = 4.7770 Å, b = 4.7770 Å, c = 3.9443 Å
α = 90.00°, β = 90.00°, γ = 90.00°
With the nearest neighbours (Å) after each atom.
Space group P4/mmm (No. 123)
One atom of each set of equivalent atoms:
B 0.0000 0.0000 0.0000 (multiplicity 1)  2 Ru 1.97
Ru 0.0000 0.0000 0.5000 (multiplicity 1)  2 B 1.97
Rh 0.0000 0.5000 0.5000 (multiplicity 2)  2 Ru 2.39
Se 0.5000 0.5000 0.0000 (multiplicity 1)  8 Rh 3.10, 4 B 3.38

***

Most stable one: arrangement 2, least stable one: arrangement 1.

***

Arrangement 1

The following is a PBE-GGA calculation of a relaxed structure of SiBRhS, from the Alexandria database.

Summary:
Magnetic moment, μB/cell: 0.00
Crystal system: monoclinic

a = 11.2568 Å, b = 2.9444 Å, c = 3.8785 Å
α = 90.00°, β = 103.31°, γ = 90.00°
With the nearest neighbours (Å) after each atom.
Space group Cm (No. 8)
One atom of each set of equivalent atoms:
Si 0.0000 0.0000 0.0000 (multiplicity 2)  4 Rh 2.44-2.45, 2 B 2.58
B 0.1543 0.5000 0.4342 (multiplicity 2)  2 S 1.84, 1 Rh 2.03
Rh 0.4782 0.0000 0.4840 (multiplicity 2)  1 B 2.03
S 0.2476 0.0000 0.3909 (multiplicity 2)  2 B 1.84

***

Arrangement 2

The following is a PBE-GGA calculation of a relaxed structure of SiBRhS, from the Alexandria database.

Summary:
Magnetic moment, μB/cell: 0.00
Crystal system: monoclinic

a = 7.4710 Å, b = 3.5044 Å, c = 5.3494 Å
α = 90.00°, β = 117.26°, γ = 90.00°
With the nearest neighbours (Å) after each atom.
Space group Cm (No. 8)
One atom of each set of equivalent atoms:
Si 0.0000 0.0000 0.0000 (multiplicity 2)  2 B 2.19, 1 S 2.27, 2 Rh 2.40
B 0.3246 0.0000 0.7721 (multiplicity 2)  1 S 1.82
Rh 0.1219 0.5000 0.8120 (multiplicity 2)  1 B 2.13
S 0.0781 0.0000 0.4639 (multiplicity 2)  1 B 1.82

***

Most stable one: arrangement 1, least stable one: arrangement 2.

***

Arrangement 1

The following is a PBE-GGA calculation of a relaxed structure of B2SbRh2, from the Alexandria database.

Summary:
Magnetic moment, μB/cell: 0.00
Crystal system: tetragonal

a = 6.9109 Å, b = 6.9109 Å, c = 2.8573 Å
α = 90.00°, β = 90.00°, γ = 90.00°
With the nearest neighbours (Å) after each atom.
Space group P4/mbm (No. 127)
One atom of each set of equivalent atoms:
B 0.0984 0.4016 0.0000 (multiplicity 4)  1 B 1.92
Sb 0.0000 0.0000 0.5000 (multiplicity 2)  4 Rh 2.66, 2 Sb 2.86
Rh 0.1435 0.6435 0.5000 (multiplicity 4)  4 B 2.22

***

Arrangement 2

The following is a PBE-GGA calculation of a relaxed structure of B2SbRh2, from the Alexandria database.

Summary:
Magnetic moment, μB/cell: 0.00
Crystal system: tetragonal

a = 3.0225 Å, b = 3.0225 Å, c = 14.6647 Å
α = 90.00°, β = 90.00°, γ = 90.00°
With the nearest neighbours (Å) after each atom.
Space group I4/mmm (No. 139)
One atom of each set of equivalent atoms:
B 0.0000 0.5000 0.2500 (multiplicity 4)  4 Rh 2.13, 4 B 2.14
Sb 0.0000 0.0000 0.0000 (multiplicity 2)  4 Sb 3.02, 8 Rh 3.04
Rh 0.0000 0.0000 0.3528 (multiplicity 4)  4 B 2.13

***

Most stable one: arrangement 2, least stable one: arrangement 1.

***

Arrangement 1

The following is a PBE-GGA calculation of a relaxed structure of BSb2TeRh, from the Alexandria database.

Summary:
Magnetic moment, μB/cell: 0.00
Crystal system: tetragonal

a = 4.6709 Å, b = 4.6709 Å, c = 4.7514 Å
α = 90.00°, β = 90.00°, γ = 90.00°
With the nearest neighbours (Å) after each atom.
Space group P4/mmm (No. 123)
One atom of each set of equivalent atoms:
B 0.0000 0.0000 0.0000 (multiplicity 1)  4 Sb 2.34, 2 Te 2.38
Sb 0.0000 0.5000 0.0000 (multiplicity 2)  2 B 2.34
Te 0.0000 0.0000 0.5000 (multiplicity 1)  2 B 2.38
Rh 0.5000 0.5000 0.5000 (multiplicity 1)  4 Te 3.30, 8 Sb 3.33

***

Arrangement 2

The following is a PBE-GGA calculation of a relaxed structure of BSb2TeRh, from the Alexandria database.

Summary:
Magnetic moment, μB/cell: 0.00
Crystal system: tetragonal

a = 5.0114 Å, b = 5.0114 Å, c = 5.6053 Å
α = 90.00°, β = 90.00°, γ = 90.00°
With the nearest neighbours (Å) after each atom.
Space group P4/mmm (No. 123)
One atom of each set of equivalent atoms:
B 0.0000 0.0000 0.0000 (multiplicity 1)  4 Te 3.54, 8 Sb 3.76
Sb 0.0000 0.5000 0.5000 (multiplicity 2)  2 Rh 2.51
Te 0.5000 0.5000 0.0000 (multiplicity 1)  2 Rh 2.80
Rh 0.5000 0.5000 0.5000 (multiplicity 1)  4 Sb 2.51, 2 Te 2.80

***

Most stable one: arrangement 1, least stable one: arrangement 2.

***

Arrangement 1

The following is a PBE-GGA calculation of a relaxed structure of ScBRh, from the Alexandria database.

Summary:
Magnetic moment, μB/cell: 0.00
Crystal system: orthorhombic

a = 3.1088 Å, b = 3.6771 Å, c = 7.4338 Å
α = 90.00°, β = 90.00°, γ = 90.00°
With the nearest neighbours (Å) after each atom.
Space group Pmmm (No. 47)
One atom of each set of equivalent atoms:
Sc 0.0000 0.0000 0.0000 (multiplicity 1)  8 Rh 2.81, 2 Sc 3.11
Sc 0.5000 0.0000 0.5000 (multiplicity 1)  8 B 2.54
B 0.0000 0.5000 0.3903 (multiplicity 2)  1 B 1.63
Rh 0.5000 0.5000 0.1944 (multiplicity 2)  2 B 2.13

***

Arrangement 2

The following is a PBE-GGA calculation of a relaxed structure of ScBRh, from the Alexandria database.

Summary:
Magnetic moment, μB/cell: 0.00
Crystal system: monoclinic

a = 7.9095 Å, b = 4.8439 Å, c = 5.6637 Å
α = 90.00°, β = 133.96°, γ = 90.00°
With the nearest neighbours (Å) after each atom.
Space group Cm (No. 8)
One atom of each set of equivalent atoms:
Sc 0.0000 0.0000 0.0000 (multiplicity 2)  4 B 2.48-2.54, 3 Rh 2.71-2.75
Sc 0.0176 0.5000 0.3315 (multiplicity 2)  4 B 2.38-2.60, 1 Rh 2.65
B 0.3619 0.1790 0.5386 (multiplicity 4)  1 B 1.73
Rh 0.1558 0.0000 0.6573 (multiplicity 2)  4 B 2.32-2.47
Rh 0.1752 0.5000 0.0443 (multiplicity 2)  2 B 2.29

***

Most stable one: arrangement 2, least stable one: arrangement 1.